1.
A plane-wave DFT calculation with GGA-PBE was carried out for CsErInTe3 after structural relaxation.

Its crystal system is monoclinic. The density of states at the Fermi level is 0.427 states/eV per atom. The calculation puts the raw formation energy at -95.44 kJ per mole of atoms.

The structure belongs to space group P2_1/m (No. 11); the cell edges are 9.9139, 4.3182 and 12.2569 Å and the angles 90.00°, 111.41° and 90.00°. The asymmetric unit holds Cs at (0.2291, 0.2500, 0.2804), Er at (0.3659, 0.7500, 0.8482), In at (0.1220, 0.2500, 0.5734), Te at (0.1299, 0.2500, 0.8100), Te at (0.3336, 0.7500, 0.5864) and Te at (0.4022, 0.7500, 0.1061).

---

2.
A plane-wave DFT calculation with GGA-PBE was carried out for Rb3Th3TiSe8 after structural relaxation.

Its crystal system is trigonal. The density of states at the Fermi level is 0.669 states/eV per atom. The calculation puts the raw formation energy at -143.01 kJ per mole of atoms.

The structure belongs to space group R-3m (No. 166, hexagonal axes); the cell edges are 8.3639, 8.3639 and 24.8803 Å and the angles 90.00°, 90.00° and 120.00°. The asymmetric unit holds Rb at (0.0000, 0.5000, 0.0000), Th at (0.0000, 0.5000, 0.5000), Ti at (0.0000, 0.0000, 0.5000), Se at (0.0000, 0.0000, 0.2367) and Se at (0.0161, 0.5081, 0.2299).

---

3.
A plane-wave DFT calculation with GGA-PBE was carried out for ScTcOF2 after structural relaxation.

Its crystal system is tetragonal. The value obtained for the offset from the most stable computed form is 0.573 eV per atom. The density of states at the Fermi level is 1.198 states/eV per atom. The calculation puts the raw formation energy at -117.42 kJ per mole of atoms.

The structure belongs to space group P4/mmm (No. 123); the cell edges are 4.3821, 4.3821 and 3.7498 Å and the angles 90.00°, 90.00° and 90.00°. The asymmetric unit holds Sc at (0.0000, 0.0000, 0.0000), Tc at (0.5000, 0.5000, 0.5000), O at (0.5000, 0.5000, 0.0000) and F at (0.0000, 0.5000, 0.5000).

---

4.
A plane-wave DFT calculation with GGA-PBE was carried out for Pm4Sb2I3 after structural relaxation.

Its crystal system is monoclinic. The density of states at the Fermi level is 0.461 states/eV per atom. The calculation puts the raw formation energy at -115.08 kJ per mole of atoms.

The structure belongs to space group C2/m (No. 12); the cell edges are 7.7545, 4.4770 and 18.9288 Å and the angles 90.00°, 90.04° and 90.00°. The asymmetric unit holds Pm at (0.0006, 0.0000, 0.2914), Pm at (0.1664, 0.5000, 0.8854), Sb at (0.1671, 0.5000, 0.2010), I at (0.0000, 0.0000, 0.0000) and I at (0.1659, 0.5000, 0.6041).

---

5.
A plane-wave DFT calculation with GGA-PBE was carried out for MgV2Rh9 after structural relaxation.

Its crystal system is tetragonal. The value obtained for the energy of formation from the pure elements is -0.3411 eV/atom. The density of states at the Fermi level is 0.964 states/eV per atom.

The structure belongs to space group P4/mmm (No. 123); the cell edges are 3.8303, 3.8303 and 11.5455 Å and the angles 90.00°, 90.00° and 90.00°. The asymmetric unit holds Mg at (0.0000, 0.0000, 0.0000), V at (0.0000, 0.0000, 0.3291), Rh at (0.0000, 0.5000, 0.1758), Rh at (0.0000, 0.5000, 0.5000), Rh at (0.5000, 0.5000, 0.0000) and Rh at (0.5000, 0.5000, 0.3378).

---

6.
A plane-wave DFT calculation with GGA-PBE was carried out for Na3Er3SbO8 after structural relaxation.

Its crystal system is trigonal. The density of states at the Fermi level is 0.093 states/eV per atom. The calculation puts the raw formation energy at -242.95 kJ per mole of atoms.

The structure belongs to space group R-3m (No. 166, hexagonal axes); the cell edges are 6.7541, 6.7541 and 16.8172 Å and the angles 90.00°, 90.00° and 120.00°. The asymmetric unit holds Na at (0.0000, 0.5000, 0.0000), Er at (0.0000, 0.5000, 0.5000), Sb at (0.0000, 0.0000, 0.5000), O at (0.0000, 0.0000, 0.2350) and O at (0.0178, 0.5089, 0.2331).

---

7.
A plane-wave DFT calculation with GGA-PBE was carried out for La2PrSm6Tm after structural relaxation.

Its crystal system is monoclinic. The value obtained for the energy of formation from the pure elements is 0.1124 eV/atom. The density of states at the Fermi level is 1.455 states/eV per atom.

The structure belongs to space group C2/c (No. 15); the cell edges are 9.1898, 15.2217 and 10.0215 Å and the angles 90.00°, 99.65° and 90.00°. The asymmetric unit holds La at (0.2441, 0.0481, 0.0419), Pr at (0.0000, 0.0127, 0.7500), Sm at (0.0713, 0.1914, 0.4439), Sm at (0.0964, 0.3953, 0.6194), Sm at (0.2034, 0.2204, 0.8114) and Tm at (0.0000, 0.4058, 0.2500).

---

8.
A plane-wave DFT calculation with GGA-PBE was carried out for CaTlAs2 after structural relaxation.

Its crystal system is cubic. The value obtained for the energy of formation from the pure elements is -0.1404 eV/atom. The value obtained for the offset from the most stable computed form is 0.356 eV per atom. The density of states at the Fermi level is 0.535 states/eV per atom.

The structure belongs to space group F-43m (No. 216); the cell edges are 7.3134, 7.3134 and 7.3134 Å and the angles 90.00°, 90.00° and 90.00°. The asymmetric unit holds Ca at (0.0000, 0.0000, 0.0000), Tl at (0.2500, 0.2500, 0.2500), As at (0.0000, 0.0000, 0.5000) and As at (0.2500, 0.2500, 0.7500).